Record 1
Here is a relaxed structure of Sm4Ag3Hg2 from the Alexandria database. Energies are from PBE.

formation enthalpy at 0 K = -292 meV per atom
total DFT energy (no corrections) = -3.4070 eV/atom
density of states at the Fermi level = 0.90 states/eV per atom

Cell lengths 10.0417, 5.0288, 9.2263 Å; angles 90.00, 99.59, 90.00 degrees
Space group C2/m (No. 12)
One atom of each set of equivalent atoms:
Sm (0.0638, 0.0000, 0.3397) [4 per cell]
Sm (0.1472, 0.5000, 0.9015) [4 per cell]
Ag (0.0000, 0.0000, 0.0000) [2 per cell]
Ag (0.1335, 0.5000, 0.5626) [4 per cell]
Hg (0.2405, 0.5000, 0.2650) [4 per cell]

Record 2
Here is a relaxed structure of InHNF2 from the Alexandria database. Energies are from PBE.

distance to the lowest polymorph of the same formula = 0 meV per atom
total DFT energy (no corrections) = -3.8377 eV/atom
density of states at the Fermi level = 0.11 states/eV per atom

Cell lengths 3.2728, 3.2728, 4.3904 Å; angles 90.00, 90.00, 90.00 degrees
Space group P4/mmm (No. 123)
One atom of each set of equivalent atoms:
In (0.0000, 0.0000, 0.0000) [1 per cell]
H (0.5000, 0.5000, 0.5000) [1 per cell]
N (0.5000, 0.5000, 0.0000) [1 per cell]
F (0.0000, 0.5000, 0.5000) [2 per cell]

Record 3
Here is a relaxed structure of Sc2TeS from the Alexandria database. Energies are from PBE.

formation energy from raw total energies = -1.03 eV per atom
distance to the lowest polymorph of the same formula = 499 meV per atom
total DFT energy (no corrections) = -6.0166 eV/atom
density of states at the Fermi level = 0.78 states/eV per atom

Cell lengths 3.9337, 3.9337, 23.3694 Å; angles 90.00, 90.00, 120.00 degrees
Space group R-3m (No. 166, hexagonal axes)
One atom of each set of equivalent atoms:
Sc (0.0000, 0.0000, 0.1155) [6 per cell]
Te (0.0000, 0.0000, 0.0000) [3 per cell]
S (0.0000, 0.0000, 0.5000) [3 per cell]

Record 4
Here is a relaxed structure of Sr3SnN from the Alexandria database. Energies are from PBE.

formation energy from raw total energies = -0.39 eV per atom
total DFT energy (no corrections) = -3.8602 eV/atom
density of states at the Fermi level = 0.69 states/eV per atom

Cell lengths 4.7928, 4.7928, 17.2797 Å; angles 90.00, 90.00, 120.00 degrees
Space group P6_3/mmc (No. 194)
One atom of each set of equivalent atoms:
Sr (0.0000, 0.0000, 0.2500) [2 per cell]
Sr (0.3333, 0.6667, 0.1057) [4 per cell]
Sn (0.0000, 0.0000, 0.0000) [2 per cell]
N (0.3333, 0.6667, 0.2500) [2 per cell]

Record 5
Here is a relaxed structure of Pm2B7Ir12 from the Alexandria database. Energies are from PBE.

formation enthalpy at 0 K = -375 meV per atom
total DFT energy (no corrections) = -8.1167 eV/atom
density of states at the Fermi level = 0.41 states/eV per atom

Cell lengths 8.9817, 8.9817, 3.9636 Å; angles 90.00, 90.00, 120.00 degrees
Space group P-6 (No. 174)
One atom of each set of equivalent atoms:
Pm (0.0000, 0.0000, 0.0000) [1 per cell]
Pm (0.3333, 0.6667, 0.5000) [1 per cell]
B (0.0639, 0.6170, 0.0000) [3 per cell]
B (0.2321, 0.0086, 0.5000) [3 per cell]
B (0.6667, 0.3333, 0.5000) [1 per cell]
Ir (0.0191, 0.7551, 0.5000) [3 per cell]
Ir (0.1137, 0.3838, 0.0000) [3 per cell]
Ir (0.4561, 0.2560, 0.0000) [3 per cell]
Ir (0.4942, 0.0697, 0.5000) [3 per cell]

Record 6
Here is a relaxed structure of Na8Tl2Cd from the Alexandria database. Energies are from PBE.

formation enthalpy at 0 K = -68 meV per atom
distance to the lowest polymorph of the same formula = 0 meV per atom
total DFT energy (no corrections) = -1.5412 eV/atom
density of states at the Fermi level = 0.33 states/eV per atom

Cell lengths 17.9357, 4.9698, 7.6096 Å; angles 90.00, 102.73, 90.00 degrees
Space group C2/m (No. 12)
One atom of each set of equivalent atoms:
Na (0.0455, 0.0000, 0.2454) [4 per cell]
Na (0.0980, 0.5000, 0.9511) [4 per cell]
Na (0.1413, 0.0000, 0.6952) [4 per cell]
Na (0.1805, 0.5000, 0.4113) [4 per cell]
Tl (0.2256, 0.0000, 0.1350) [4 per cell]
Cd (0.0000, 0.5000, 0.5000) [2 per cell]